The following is a PBE-GGA calculation of a geometry-optimized Li2Mg7Al2 structure, from Alexandria via LeMat-Bulk.

Cell and atoms, written as POSCAR:
```
Li2Mg7Al2
1.0
-1.8035 3.3892 -6.2209
-4.6587 -3.0014 -1.2543
-2.6244 4.5103 2.2483
Li Mg Al
2 7 2
direct
0.5000 0.3258 0.6742
0.5000 0.6742 0.3258
0.0000 0.0000 0.0000
0.8025 0.5388 0.9210
0.4139 0.8456 0.8456
0.1975 0.0790 0.4612
0.5861 0.1544 0.1544
0.1975 0.4612 0.0790
0.8025 0.9210 0.5388
0.8554 0.3959 0.3959
0.1446 0.6041 0.6041
```

ΔE_f   -0.02 eV/atom
Electronic total energy   -22.75 eV per cell


The following is a PBE-GGA calculation of a geometry-optimized AcNdHo3 structure, from Alexandria via LeMat-Bulk.

Cell and atoms, written as POSCAR:
```
AcNdHo3
1.0
0.2698 0.0139 -6.1164
3.0302 -5.0596 1.6439
-8.3941 -5.1514 -0.3819
Ho Nd Ac
6 2 2
direct
0.5455 0.2289 0.4337
0.0162 0.4113 0.2500
0.4113 0.0162 0.7500
0.5455 0.2289 0.0663
0.2289 0.5455 0.9337
0.2289 0.5455 0.5663
0.9803 0.9803 0.5000
0.9803 0.9803 0.0000
0.5652 0.7302 0.2500
0.7302 0.5652 0.7500
```

ΔE_f   0.24 eV/atom
Electronic total energy   -42.79 eV per cell
Energy above the lowest structure with this stoichiometry   0.196 eV/atom


The following is a PBE-GGA calculation of a geometry-optimized K2PrTiO4 structure, from Alexandria via LeMat-Bulk.

Cell and atoms, written as POSCAR:
```
K2PrTiO4
1.0
-2.5283 1.5513 5.1255
-0.4720 -5.6677 -1.6502
5.9160 0.0999 -0.2448
Ti K O Pr
1 2 4 1
direct
0.0000 0.5000 0.5000
0.0000 0.0000 0.0000
0.5000 0.7500 0.2500
0.3996 0.8294 0.7536
0.6004 0.3540 0.4297
0.9243 0.5703 0.1706
0.0757 0.2464 0.6460
0.5000 0.2500 0.7500
```

Electronic total energy   -53.86 eV per cell


Number 1: calculated density 1.7 Mg/m³, total magnetization 0.00 μB per formula unit, calculated volume 228 Å³/f.u.. Number 2: calculated density 8.0 Mg/m³, total magnetization 0.00 μB per formula unit, calculated volume 179 Å³/f.u.. Number 3: calculated density 3.6 Mg/m³, total magnetization 0.95 μB per formula unit, calculated volume 152 Å³/f.u..